Entry 1:
Here is crystalline MnTcH2O6 at its relaxed geometry from Alexandria. Energies are from PBE with a Hubbard U.

Cell: 5.1336 5.1634 5.3745 Å, 62.36 62.70 62.09°
Fractional coordinates of all 10 atoms:
O (0.2279, 0.9134, 0.3107)
O (0.1391, 0.3561, 0.8265)
H (0.9166, 0.0482, 0.7913)
H (0.3665, 0.8002, 0.4350)
O (0.0031, 0.5471, 0.2781)
Mn (0.8589, 0.7977, 0.5390)
O (0.4887, 0.6555, 0.7653)
Tc (0.3298, 0.3494, 0.0381)
O (0.7355, 0.0367, 0.7834)
O (0.5955, 0.1573, 0.2478)

Summary:
Theoretical density ... 3.9 Mg/m³
Energy ... -66.15 eV/f.u.
Symmetry ... P1 (1)

***

Entry 2:
Here is crystalline Mn2TeHO6 at its relaxed geometry from Alexandria. Energies are from PBE with a Hubbard U.

Cell: 5.1206 5.3277 6.0456 Å, 59.59 64.38 62.08°
Fractional coordinates of all 10 atoms:
O (0.9809, 0.5899, 0.1801)
O (0.1482, 0.3984, 0.7623)
O (0.4200, 0.7424, 0.7447)
O (0.2528, 0.9462, 0.2052)
Mn (0.0218, 0.0205, 0.9732)
Te (0.3446, 0.3318, 0.0113)
H (0.6248, 0.7291, 0.7306)
Mn (0.5475, 0.5005, 0.4118)
O (0.7281, 0.1655, 0.7753)
O (0.5927, 0.2371, 0.2207)

Summary:
Theoretical density ... 4.6 Mg/m³
Energy ... -64.06 eV/f.u.
Symmetry ... P1 (1)

***

Entry 3:
Here is crystalline TiMnHO at its relaxed geometry from Alexandria. Energies are from PBE with a Hubbard U.

Cell: 2.8009 2.9900 11.1079 Å, 90.00 104.59 90.00°
Fractional coordinates of all 8 atoms:
O (0.2515, 0.0000, 0.4258)
Mn (0.8993, 0.0000, 0.5738)
Mn (0.8993, 0.5000, 0.0738)
H (0.0763, 0.0000, 0.7490)
O (0.2515, 0.5000, 0.9258)
Ti (0.6177, 0.5000, 0.7916)
H (0.0763, 0.5000, 0.2490)
Ti (0.6177, 0.0000, 0.2916)

Summary:
N(E_F) ... 3.5 states/eV/cell
Theoretical density ... 4.4 Mg/m³
Energy ... -26.96 eV/f.u.
Symmetry ... Imm2 (44)

***

Entry 4:
Here is crystalline TiMnHO at its relaxed geometry from Alexandria. Energies are from PBE with a Hubbard U.

Cell: 2.8830 2.8460 5.1566 Å, 90.00 90.01 90.00°
Fractional coordinates of all 4 atoms:
Mn (0.3485, 0.5000, 0.8402)
O (0.3478, 0.5000, 0.2370)
Ti (0.8478, 0.0000, 0.3620)
H (0.8482, 0.5000, 0.6015)

Summary:
N(E_F) ... 0.5 states/eV/cell
Theoretical density ... 4.7 Mg/m³
Energy ... -27.73 eV/f.u.
Symmetry ... Pmm2 (25)

***

Entry 5:
Here is crystalline TiMnHO at its relaxed geometry from Alexandria. Energies are from PBE with a Hubbard U.

Cell: 5.7485 2.9417 5.2661 Å, 90.00 113.42 90.00°
Fractional coordinates of all 8 atoms:
H (0.9510, 0.5000, 0.6735)
H (0.9510, 0.0000, 0.1735)
O (0.3380, 0.5000, 0.4988)
Mn (0.6501, 0.0000, 0.6923)
Ti (0.1015, 0.5000, 0.0684)
Ti (0.1015, 0.0000, 0.5684)
Mn (0.6501, 0.5000, 0.1923)
O (0.3380, 0.0000, 0.9988)

Summary:
N(E_F) ... 0.8 states/eV/cell
Theoretical density ... 4.9 Mg/m³
Energy ... -27.93 eV/f.u.
Symmetry ... Cm (8)

***

Entry 6:
Here is crystalline TiMnHO at its relaxed geometry from Alexandria. Energies are from PBE with a Hubbard U.

Cell: 3.0086 3.0086 16.5390 Å, 90.00 90.00 120.00°
Fractional coordinates of all 12 atoms:
Mn (0.6667, 0.3333, 0.1035)
Ti (0.6667, 0.3333, 0.6276)
Mn (0.3333, 0.6667, 0.4369)
Mn (0.0000, 0.0000, 0.7702)
O (0.3333, 0.6667, 0.5587)
Ti (0.3333, 0.6667, 0.9610)
H (0.0000, 0.0000, 0.0299)
H (0.3333, 0.6667, 0.6966)
Ti (0.0000, 0.0000, 0.2943)
O (0.0000, 0.0000, 0.8920)
H (0.6667, 0.3333, 0.3632)
O (0.6667, 0.3333, 0.2254)

Summary:
N(E_F) ... 3.4 states/eV/cell
Theoretical density ... 4.6 Mg/m³
Energy ... -27.60 eV/f.u.
Symmetry ... R3m (160)

***

Entry 7:
Here is crystalline TiMnHO at its relaxed geometry from Alexandria. Energies are from PBE with a Hubbard U.

Cell: 2.9221 2.8128 9.9800 Å, 90.00 90.00 90.00°
Fractional coordinates of all 8 atoms:
O (0.5000, 0.0000, 0.5352)
Ti (0.0000, 0.0000, 0.9541)
Ti (0.0000, 0.5000, 0.4541)
H (0.0000, 0.0000, 0.3328)
Mn (0.5000, 0.0000, 0.2134)
Mn (0.5000, 0.5000, 0.7134)
O (0.5000, 0.5000, 0.0352)
H (0.0000, 0.5000, 0.8328)

Summary:
N(E_F) ... 3.2 states/eV/cell
Theoretical density ... 4.9 Mg/m³
Energy ... -27.26 eV/f.u.
Symmetry ... Amm2 (38)

***

Entry 8:
Here is crystalline TiMnHO at its relaxed geometry from Alexandria. Energies are from PBE with a Hubbard U.

Cell: 2.8781 2.8733 5.7172 Å, 90.00 120.24 90.00°
Fractional coordinates of all 4 atoms:
O (0.5522, 0.0000, 0.6839)
H (0.5871, 0.5000, 0.2187)
Mn (0.1185, 0.0000, 0.2502)
Ti (0.1751, 0.5000, 0.8066)

Summary:
N(E_F) ... 1.3 states/eV/cell
Theoretical density ... 4.9 Mg/m³
Energy ... -27.41 eV/f.u.
Symmetry ... P4mm (99)

***

Number 1: V 106.08 Å³ per cell. Number 2: V 121.48 Å³ per cell. Number 3: V 90.03 Å³ per cell. Number 4: V 42.31 Å³ per cell. Number 5: V 81.71 Å³ per cell. Number 6: V 129.65 Å³ per cell. Number 7: V 82.03 Å³ per cell. Number 8: V 40.84 Å³ per cell.